{
  "formula": "VTe3I",
  "functional": "PBE",
  "state": "relaxed",
  "lattice": [[4.061, -7.025, 0.000], [4.061, 7.025, 0.000], [0.000, 0.000, 5.522]],
  "species": ["V", "V", "Te", "Te", "Te", "Te", "Te", "Te", "I", "I"],
  "frac_coords": [[0.000, 0.000, 0.000], [0.000, 0.000, 0.500], [0.160, 0.320, 0.750], [0.160, 0.840, 0.750], [0.320, 0.160, 0.250], [0.680, 0.840, 0.750], [0.840, 0.160, 0.250], [0.840, 0.680, 0.250], [0.334, 0.666, 0.250], [0.666, 0.334, 0.750]],
  "e_above_lowest_polymorph_mev_per_atom": 0.0,
  "space_group": "Cmcm (63)"
}

***

{
  "formula": "VTe3I",
  "functional": "PBE",
  "state": "relaxed",
  "lattice": [[5.247, 0.000, 0.000], [0.000, 5.247, 0.000], [0.000, 0.000, 5.247]],
  "species": ["V", "Te", "Te", "Te", "I"],
  "frac_coords": [[0.000, 0.000, 0.000], [0.000, 0.000, 0.500], [0.000, 0.500, 0.000], [0.500, 0.000, 0.000], [0.500, 0.500, 0.500]],
  "e_above_lowest_polymorph_mev_per_atom": 279.1,
  "space_group": "Pm-3m (221)"
}

***

{
  "formula": "VTeI3",
  "functional": "PBE",
  "state": "relaxed",
  "lattice": [[6.083, 0.000, 0.000], [0.000, 6.083, 0.000], [0.000, 0.000, 6.083]],
  "species": ["V", "Te", "I", "I", "I"],
  "frac_coords": [[0.000, 0.000, 0.000], [0.500, 0.500, 0.500], [0.000, 0.500, 0.500], [0.500, 0.000, 0.500], [0.500, 0.500, 0.000]],
  "space_group": "Pm-3m (221)"
}

***

{
  "formula": "VTeI",
  "functional": "PBE",
  "state": "relaxed",
  "lattice": [[3.986, 0.000, 0.000], [0.511, 7.437, 0.000], [0.991, 2.254, 7.972]],
  "species": ["V", "V", "Te", "Te", "I", "I"],
  "frac_coords": [[0.225, 0.476, 0.390], [0.775, 0.524, 0.610], [0.284, 0.286, 0.703], [0.716, 0.714, 0.297], [0.168, 0.231, 0.238], [0.832, 0.769, 0.762]],
  "e_above_lowest_polymorph_mev_per_atom": 174.0,
  "space_group": "P-1 (2)"
}

***

{
  "formula": "VTe4I",
  "functional": "PBE",
  "state": "relaxed",
  "lattice": [[8.403, -3.917, 0.000], [8.403, 3.917, 0.000], [-0.276, 0.000, 6.192]],
  "species": ["V", "V", "Te", "Te", "Te", "Te", "Te", "Te", "Te", "Te", "I", "I"],
  "frac_coords": [[0.014, 0.014, 0.269], [0.986, 0.986, 0.731], [0.123, 0.683, 0.443], [0.181, 0.181, 0.277], [0.259, 0.741, 0.000], [0.317, 0.877, 0.557], [0.683, 0.123, 0.443], [0.741, 0.259, 0.000], [0.819, 0.819, 0.723], [0.877, 0.317, 0.557], [0.308, 0.308, 0.884], [0.692, 0.692, 0.116]],
  "space_group": "C2/m (12)"
}

***

{
  "formula": "V3TeI",
  "functional": "PBE",
  "state": "relaxed",
  "lattice": [[5.283, 0.000, 0.000], [0.000, 5.283, 0.000], [0.000, 0.000, 5.283]],
  "species": ["V", "V", "V", "Te", "I"],
  "frac_coords": [[0.000, 0.000, 0.500], [0.000, 0.500, 0.000], [0.500, 0.000, 0.000], [0.000, 0.000, 0.000], [0.500, 0.500, 0.500]],
  "e_above_lowest_polymorph_mev_per_atom": 0.0,
  "space_group": "Pm-3m (221)"
}

***

{
  "formula": "VTe3I",
  "functional": "PBE",
  "state": "relaxed",
  "lattice": [[5.792, 0.000, 0.000], [0.000, 5.792, 0.000], [0.000, 0.000, 5.792]],
  "species": ["V", "Te", "Te", "Te", "I"],
  "frac_coords": [[0.000, 0.000, 0.000], [0.000, 0.500, 0.500], [0.500, 0.000, 0.500], [0.500, 0.500, 0.000], [0.500, 0.500, 0.500]],
  "e_above_lowest_polymorph_mev_per_atom": 1379.4,
  "space_group": "Pm-3m (221)"
}

***

{
  "formula": "VTeI3",
  "functional": "PBE",
  "state": "relaxed",
  "lattice": [[5.535, 0.000, 0.000], [0.000, 5.535, 0.000], [0.000, 0.000, 5.535]],
  "species": ["V", "Te", "I", "I", "I"],
  "frac_coords": [[0.000, 0.000, 0.000], [0.500, 0.500, 0.500], [0.000, 0.000, 0.500], [0.000, 0.500, 0.000], [0.500, 0.000, 0.000]],
  "space_group": "Pm-3m (221)"
}

***

Number 1: formation energy (no corrections) -141 meV/atom, ρ 5.91 g cm⁻³. Number 2: formation energy (no corrections) 138 meV/atom, ρ 6.45 g cm⁻³. Number 3: formation energy (no corrections) 743 meV/atom, ρ 4.13 g cm⁻³. Number 4: formation energy (no corrections) -219 meV/atom, ρ 4.29 g cm⁻³. Number 5: formation energy (no corrections) -97 meV/atom, ρ 5.61 g cm⁻³. Number 6: formation energy (no corrections) 1092 meV/atom, ρ 4.59 g cm⁻³. Number 7: formation energy (no corrections) 1239 meV/atom, ρ 4.79 g cm⁻³. Number 8: formation energy (no corrections) 180 meV/atom, ρ 5.48 g cm⁻³.